No. 1
Crystalline TaTcHg2 at its relaxed geometry, computed with PBE.

Magnetic moment: 0.00 Bohr magnetons per cell
D(E_F): 2.8 states/eV/f.u.
Space-group type: C2/m, No. 12
E_form: 0.564 eV/atom
Energy above the lowest structure with this stoichiometry: 0.338 eV per atom

```
4
Lattice="-4.409 -0.284 -3.271 3.145 -4.476 0.542 -1.678 -1.323 1.871" Properties=species:S:1:pos:R:3 pbc="T T T"
Hg 0.000 0.000 0.000
Hg -0.632 -2.380 -1.364
Ta -3.044 -0.803 -0.700
Tc 0.734 -2.899 1.207
```


No. 2
Crystalline Tl5In12Ga3 at its relaxed geometry, computed with PBE.

Magnetic moment: 0.00 Bohr magnetons per cell
D(E_F): 8.0 states/eV/f.u.
Space-group type: Ia-3d, No. 230
E_form: 0.187 eV/atom

```
80
Lattice="14.976 0.000 0.000 -4.992 14.120 0.000 -4.992 -7.060 12.228" Properties=species:S:1:pos:R:3 pbc="T T T"
Ga 8.736 4.412 1.528
Ga 8.736 9.707 1.528
Ga -1.248 6.177 7.642
Ga 1.248 -0.882 4.585
Ga 11.232 0.000 3.057
Ga 1.248 7.060 3.057
Ga 3.744 0.000 9.171
Ga -6.240 7.060 9.171
Ga 3.744 7.942 7.642
Ga 6.240 0.882 4.585
Ga -3.744 -2.647 10.699
Ga -3.744 2.647 10.699
Tl -1.248 3.530 3.057
Tl -2.496 7.060 0.000
Tl 0.000 0.000 0.000
Tl 3.744 2.647 1.528
Tl 4.992 -3.530 6.114
Tl 4.992 7.060 0.000
Tl -3.744 7.942 4.585
Tl 6.240 -4.412 10.699
Tl 6.240 6.177 4.585
Tl 1.248 -3.530 9.171
Tl 3.744 10.590 3.057
Tl 2.496 3.530 6.114
Tl 7.488 0.000 0.000
Tl -2.496 -3.530 6.114
Tl -1.248 0.882 7.642
Tl -1.248 11.472 1.528
Tl -4.992 3.530 6.114
Tl 8.736 -0.882 7.642
Tl 1.248 4.412 10.699
Tl 6.240 3.530 9.171
In 10.062 1.377 0.898
In -0.078 4.996 5.370
In 10.758 3.336 3.166
In 6.714 2.456 1.642
In 2.056 5.750 8.164
In 10.240 6.735 2.050
In -0.774 7.940 4.808
In -4.218 11.663 1.642
In 0.440 8.369 8.164
In 7.232 7.385 2.050
In 7.410 3.441 4.472
In 7.410 12.743 0.898
In -4.552 6.415 7.012
In 2.752 5.447 1.306
In -4.914 10.679 4.472
In 2.418 -2.064 6.857
In -0.440 0.665 2.948
In 2.752 8.997 0.743
In 6.714 10.783 3.166
In -0.256 5.122 0.743
In -2.936 7.725 9.280
In 3.270 6.180 4.808
In 7.048 7.704 7.012
In 5.248 -1.613 10.922
In 1.722 0.880 7.420
In -2.056 -0.645 5.216
In -0.256 8.672 1.306
In -1.722 -3.723 9.062
In 7.928 -0.665 2.948
In 5.248 1.938 11.484
In 2.240 -1.938 11.484
In 2.574 9.123 5.370
In 5.432 6.395 9.280
In 9.906 -3.619 7.755
In 9.544 0.645 5.216
In -2.418 -5.683 11.330
In 2.240 1.613 10.922
In 4.552 -1.309 4.064
In -2.240 -0.325 10.178
In -2.418 3.619 7.755
In 9.210 -4.604 10.586
In 5.766 -0.880 7.420
In -1.722 4.604 10.586
In -5.248 0.325 10.178
In 2.936 1.309 4.064
In -5.766 3.723 9.062
In 5.070 2.064 6.857
In -5.070 5.683 11.330
```


No. 3
Crystalline Dy2ErMgTl4 at its relaxed geometry, computed with PBE.

Magnetic moment: 0.00 Bohr magnetons per cell
D(E_F): 4.3 states/eV/f.u.
Space-group type: R-3m, No. 166
E_form: -0.279 eV/atom

```
8
Lattice="-0.324 4.829 2.025 -4.051 3.097 -1.236 -6.013 -0.559 7.167" Properties=species:S:1:pos:R:3 pbc="T T T"
Dy -7.707 5.584 5.840
Dy -2.680 1.783 2.115
Er 0.000 0.000 0.000
Mg -5.194 3.684 3.978
Tl -6.901 2.484 6.566
Tl -6.065 6.738 3.352
Tl -4.322 0.630 4.604
Tl -3.486 4.883 1.390
```


No. 4
Crystalline MgAlNi2 at its relaxed geometry, computed with PBE.

Magnetic moment: 0.39 Bohr magnetons per cell
D(E_F): 3.9 states/eV/f.u.
Space-group type: Immm, No. 71
E_form: 0.373 eV/atom

```
4
Lattice="4.581 -1.546 -2.714 -1.172 4.691 2.714 -3.215 0.065 4.517" Properties=species:S:1:pos:R:3 pbc="T T T"
Mg 0.000 0.000 0.000
Al -2.194 2.378 3.616
Ni -1.161 1.259 1.914
Ni -3.226 3.497 5.318
```